This record from the Alexandria database describes a geometry-optimized Ba3Na3TcO8 structure. The functional is PBE.

Results
- Total energy: -5.847 eV per atom
- Formation energy from raw total energies: -1.863 eV/atom
- V: 18.72 Å³/atom

Lattice parameters (Å, degrees): 7.310 7.310 7.310 60.72 60.72 60.72
Element x y z (fractional)
Ba: 0.000 0.500 0.500
Ba: 0.500 0.000 0.500
Ba: 0.500 0.500 0.000
Na: 0.000 0.000 0.500
Na: 0.000 0.500 0.000
Na: 0.500 0.000 0.000
Tc: 0.500 0.500 0.500
O: 0.247 0.247 0.247
O: 0.314 0.314 0.685
O: 0.314 0.685 0.314
O: 0.315 0.686 0.686
O: 0.685 0.314 0.314
O: 0.686 0.315 0.686
O: 0.686 0.686 0.315
O: 0.753 0.753 0.753